DFT (PBE) results for a relaxed structure of B5C7.

Values from the calculation:
Space group ... No. 6
Mass density ... 2.81 Mg/m³
Crystal system ... monoclinic
Total magnetization ... 0.000 μB per cell
Relative energy among the computed polymorphs ... 127.2 meV/atom

Structure (POSCAR):
```
B5C7
1.0
4.631 0.000 0.000
0.000 2.612 0.000
-0.229 0.000 6.756
B C
5 7
direct
0.000 0.000 0.000
0.051 0.000 0.633
0.366 0.000 0.045
0.557 0.500 0.910
0.876 0.500 0.280
0.214 0.500 0.362
0.226 0.500 0.596
0.373 0.000 0.285
0.546 0.500 0.674
0.688 0.000 0.368
0.702 0.000 0.597
0.857 0.500 0.034
```